VASP calculation (GGA-PBE) on crystalline Nd12AgHg6 at its relaxed geometry.

Cell and atoms, written as extended XYZ:
```
19
Lattice="5.8597 3.3831 4.7336 -5.8597 3.3831 4.7336 0.0000 -6.7662 4.7336" Properties=species:S:1:pos:R:3 pbc="T T T"
Nd -0.3096 -1.9091 2.5040
Nd -1.4985 1.2227 2.5040
Nd -1.6018 -1.6364 5.7824
Nd 1.8082 0.6864 2.5040
Nd -2.2180 0.5690 8.4184
Nd -0.6163 2.2053 5.7824
Nd 0.6163 -2.2054 8.4184
Nd 2.2180 -0.5690 5.7824
Nd -1.8082 -0.6864 11.6968
Nd 1.6018 1.6364 8.4184
Nd 1.4985 -1.2227 11.6968
Nd 0.3096 1.9091 11.6968
Ag 0.0000 0.0000 0.0000
Hg -3.5702 1.0263 5.2913
Hg 0.8963 -3.6050 5.2913
Hg -2.6739 -2.5787 8.9095
Hg 2.6739 2.5787 5.2913
Hg -0.8963 3.6050 8.9095
Hg 3.5702 -1.0263 8.9095
```

Formation enthalpy at 0 K (kcal/mol of atoms): -4.5
Total magnetization (μB per cell): 0.0
Uncorrected energy (eV per atom): -3.451
Symmetry: R-3, No. 148